(1)
A plane-wave DFT calculation with GGA-PBEsol was carried out for crystalline LiTlHg at its relaxed geometry.

Lattice parameters (Å, degrees): 4.7524 4.7524 3.3747 90.00 90.00 120.00
Space group P3m1 (No. 156)
Inequivalent atoms, fractional coordinates:
Li 0.0000 0.0000 0.0000 x1
Tl 0.3333 0.6667 0.6050 x1
Hg 0.6667 0.3333 0.2346 x1

* ΔE to the lowest computed polymorph: 28 meV per atom
* formation energy from the elements: -0.201 eV per atom
* calculated volume: 66.0 Å³/f.u.
* final energy: -1.922 eV/atom


(2)
A plane-wave DFT calculation with GGA-PBEsol was carried out for crystalline CrFe4Mo at its relaxed geometry.

Lattice parameters (Å, degrees): 6.473 6.473 6.473 90.00 90.00 90.00
Space group F-43m (No. 216)
Inequivalent atoms, fractional coordinates:
Cr 0.000 0.000 0.000 x4
Fe 0.126 0.126 0.626 x16
Mo 0.250 0.250 0.250 x4

* formation energy from the elements: 0.072 eV per atom
* calculated volume: 67.8 Å³/f.u.
* final energy: -9.572 eV/atom


(3)
A plane-wave DFT calculation with GGA-PBEsol was carried out for crystalline BeC at its relaxed geometry.

Lattice parameters (Å, degrees): 4.134 4.134 4.134 90.00 90.00 90.00
Space group F-43m (No. 216)
Inequivalent atoms, fractional coordinates:
Be 0.000 0.000 0.000 x4
C 0.250 0.250 0.250 x4

* ΔE to the lowest computed polymorph: 823 meV per atom
* formation energy from the elements: 1.520 eV per atom
* calculated volume: 17.7 Å³/f.u.
* final energy: -5.302 eV/atom


(4)
A plane-wave DFT calculation with GGA-PBEsol was carried out for crystalline CdFe2SnHg at its relaxed geometry.

Lattice parameters (Å, degrees): 4.854 4.854 5.207 90.00 90.00 90.00
Space group P4/mmm (No. 123)
Inequivalent atoms, fractional coordinates:
Cd 0.000 0.000 0.000 x1
Fe 0.000 0.500 0.000 x2
Sn 0.000 0.000 0.500 x1
Hg 0.500 0.500 0.500 x1

* formation energy from the elements: 1.371 eV per atom
* calculated volume: 122.7 Å³/f.u.
* final energy: -3.419 eV/atom


(5)
A plane-wave DFT calculation with GGA-PBEsol was carried out for crystalline ScPtSe2 at its relaxed geometry.

Lattice parameters (Å, degrees): 3.511 3.595 12.403 90.00 90.00 90.00
Space group Imm2 (No. 44)
Inequivalent atoms, fractional coordinates:
Sc 0.000 0.000 0.000 x2
Pt 0.000 0.500 0.307 x2
Se 0.000 0.000 0.587 x2
Se 0.000 0.500 0.835 x2

* ΔE to the lowest computed polymorph: 0 meV per atom
* calculated volume: 78.3 Å³/f.u.
* uncorrected formation energy: -0.951 eV/atom
* final energy: -6.268 eV/atom


(6)
A plane-wave DFT calculation with GGA-PBEsol was carried out for crystalline Bi2MoPdN at its relaxed geometry.

Lattice parameters (Å, degrees): 4.917 4.917 3.909 90.00 90.00 90.00
Space group P4/mmm (No. 123)
Inequivalent atoms, fractional coordinates:
Bi 0.000 0.500 0.000 x2
Mo 0.000 0.000 0.500 x1
Pd 0.500 0.500 0.500 x1
N 0.500 0.500 0.000 x1

* calculated volume: 94.5 Å³/f.u.
* uncorrected formation energy: 0.792 eV/atom
* final energy: -6.172 eV/atom


(7)
A plane-wave DFT calculation with GGA-PBEsol was carried out for crystalline ScInAg4 at its relaxed geometry.

Lattice parameters (Å, degrees): 7.632 7.632 7.632 90.00 90.00 90.00
Space group F-43m (No. 216)
Inequivalent atoms, fractional coordinates:
Sc 0.000 0.000 0.000 x4
In 0.250 0.250 0.750 x4
Ag 0.125 0.125 0.375 x16

* formation energy from the elements: -0.163 eV per atom
* calculated volume: 111.1 Å³/f.u.
* final energy: -3.969 eV/atom


(8)
A plane-wave DFT calculation with GGA-PBEsol was carried out for crystalline K2MgTc at its relaxed geometry.

Lattice parameters (Å, degrees): 3.489 3.489 10.623 90.00 90.00 90.00
Space group P4mm (No. 99)
Inequivalent atoms, fractional coordinates:
K 0.000 0.000 0.000 x1
K 0.500 0.500 0.398 x1
Mg 0.000 0.000 0.660 x1
Tc 0.500 0.500 0.767 x1

* formation energy from the elements: 0.880 eV per atom
* calculated volume: 129.3 Å³/f.u.
* final energy: -2.933 eV/atom


(9)
A plane-wave DFT calculation with GGA-PBEsol was carried out for crystalline BaAgMo at its relaxed geometry.

Lattice parameters (Å, degrees): 7.112 7.112 7.112 90.00 90.00 90.00
Space group F-43m (No. 216)
Inequivalent atoms, fractional coordinates:
Ba 0.000 0.000 0.000 x4
Ag 0.250 0.250 0.750 x4
Mo 0.250 0.250 0.250 x4

* ΔE to the lowest computed polymorph: 460 meV per atom
* formation energy from the elements: 1.849 eV per atom
* calculated volume: 89.9 Å³/f.u.
* final energy: -3.893 eV/atom


(10)
A plane-wave DFT calculation with GGA-PBEsol was carried out for crystalline Y2HgSb at its relaxed geometry.

Lattice parameters (Å, degrees): 7.434 7.434 7.434 90.00 90.00 90.00
Space group F-43m (No. 216)
Inequivalent atoms, fractional coordinates:
Y 0.000 0.000 0.000 x4
Y 0.250 0.250 0.250 x4
Hg 0.250 0.250 0.750 x4
Sb 0.000 0.000 0.500 x4

* ΔE to the lowest computed polymorph: 697 meV per atom
* calculated volume: 102.7 Å³/f.u.
* uncorrected formation energy: -0.147 eV/atom
* final energy: -4.839 eV/atom


(11)
A plane-wave DFT calculation with GGA-PBEsol was carried out for crystalline Ga3ReIr at its relaxed geometry.

Lattice parameters (Å, degrees): 4.685 4.685 4.685 90.00 90.00 90.00
Space group Pm-3m (No. 221)
Inequivalent atoms, fractional coordinates:
Ga 0.000 0.000 0.500 x3
Re 0.500 0.500 0.500 x1
Ir 0.000 0.000 0.000 x1

* formation energy from the elements: 1.010 eV per atom
* calculated volume: 102.8 Å³/f.u.
* final energy: -5.625 eV/atom


(12)
A plane-wave DFT calculation with GGA-PBEsol was carried out for crystalline KHf3Pb at its relaxed geometry.

Lattice parameters (Å, degrees): 5.451 5.451 5.451 90.00 90.00 90.00
Space group Pm-3m (No. 221)
Inequivalent atoms, fractional coordinates:
K 0.000 0.000 0.000 x1
Hf 0.000 0.500 0.500 x3
Pb 0.500 0.500 0.500 x1

* formation energy from the elements: 1.507 eV per atom
* calculated volume: 162.0 Å³/f.u.
* final energy: -5.822 eV/atom


(13)
A plane-wave DFT calculation with GGA-PBEsol was carried out for crystalline Mo3CS at its relaxed geometry.

Lattice parameters (Å, degrees): 4.100 4.100 4.100 90.00 90.00 90.00
Space group Pm-3m (No. 221)
Inequivalent atoms, fractional coordinates:
Mo 0.000 0.000 0.500 x3
C 0.000 0.000 0.000 x1
S 0.500 0.500 0.500 x1

* calculated volume: 68.9 Å³/f.u.
* uncorrected formation energy: 0.459 eV/atom
* final energy: -9.407 eV/atom


(14)
A plane-wave DFT calculation with GGA-PBEsol was carried out for crystalline Al2SiNi at its relaxed geometry.

Lattice parameters (Å, degrees): 3.9176 3.9176 4.5160 90.00 90.00 120.00
Space group P-3m1 (No. 164)
Inequivalent atoms, fractional coordinates:
Al 0.3333 0.6667 0.1996 x2
Si 0.0000 0.0000 0.5000 x1
Ni 0.0000 0.0000 0.0000 x1

* ΔE to the lowest computed polymorph: 11 meV per atom
* calculated volume: 60.0 Å³/f.u.
* uncorrected formation energy: -0.336 eV/atom
* final energy: -5.358 eV/atom


(15)
A plane-wave DFT calculation with GGA-PBEsol was carried out for crystalline Cu2OsAu at its relaxed geometry.

Lattice parameters (Å, degrees): 4.152 2.596 9.999 90.00 90.00 90.00
Space group Amm2 (No. 38)
Inequivalent atoms, fractional coordinates:
Cu 0.000 0.000 0.000 x2
Cu 0.500 0.000 0.131 x2
Os 0.000 0.000 0.732 x2
Au 0.500 0.000 0.387 x2

* ΔE to the lowest computed polymorph: 12 meV per atom
* formation energy from the elements: 0.365 eV per atom
* calculated volume: 53.9 Å³/f.u.
* final energy: -5.838 eV/atom


(16)
A plane-wave DFT calculation with GGA-PBEsol was carried out for crystalline AgSbP3 at its relaxed geometry.

Lattice parameters (Å, degrees): 4.970 4.970 4.970 90.00 90.00 90.00
Space group Pm-3m (No. 221)
Inequivalent atoms, fractional coordinates:
Ag 0.000 0.000 0.000 x1
Sb 0.500 0.500 0.500 x1
P 0.000 0.500 0.500 x3

* calculated volume: 122.7 Å³/f.u.
* uncorrected formation energy: 1.359 eV/atom
* final energy: -3.690 eV/atom


(17)
A plane-wave DFT calculation with GGA-PBEsol was carried out for crystalline KLaZr2 at its relaxed geometry.

Lattice parameters (Å, degrees): 3.309 5.601 5.953 90.00 90.00 90.00
Space group Pmmm (No. 47)
Inequivalent atoms, fractional coordinates:
K 0.000 0.000 0.000 x1
La 0.500 0.500 0.000 x1
Zr 0.000 0.500 0.500 x1
Zr 0.500 0.000 0.500 x1

* ΔE to the lowest computed polymorph: 456 meV per atom
* formation energy from the elements: 0.798 eV per atom
* calculated volume: 110.3 Å³/f.u.
* final energy: -5.367 eV/atom


(18)
A plane-wave DFT calculation with GGA-PBEsol was carried out for crystalline FeCu3 at its relaxed geometry.

Lattice parameters (Å, degrees): 2.5027 2.5027 24.9050 90.00 90.00 120.00
Space group R-3m (No. 166, hexagonal axes)
Inequivalent atoms, fractional coordinates:
Fe 0.0000 0.0000 0.0000 x3
Cu 0.0000 0.0000 0.2497 x6
Cu 0.0000 0.0000 0.5000 x3

* formation energy from the elements: 0.095 eV per atom
* calculated volume: 45.0 Å³/f.u.
* final energy: -5.397 eV/atom


(19)
A plane-wave DFT calculation with GGA-PBEsol was carried out for crystalline MgHN2O at its relaxed geometry.

Lattice parameters (Å, degrees): 2.790 2.790 5.717 90.00 90.00 90.00
Space group P4/mmm (No. 123)
Inequivalent atoms, fractional coordinates:
Mg 0.000 0.000 0.000 x1
H 0.500 0.500 0.500 x1
N 0.000 0.500 0.500 x2
O 0.500 0.500 0.000 x1

* calculated volume: 44.5 Å³/f.u.
* final energy: -4.892 eV/atom


(20)
A plane-wave DFT calculation with GGA-PBEsol was carried out for crystalline RbNbReW2 at its relaxed geometry.

Lattice parameters (Å, degrees): 4.583 4.583 4.567 90.00 90.00 90.00
Space group P4/mmm (No. 123)
Inequivalent atoms, fractional coordinates:
Rb 0.000 0.000 0.000 x1
Nb 0.500 0.500 0.500 x1
Re 0.000 0.000 0.500 x1
W 0.000 0.500 0.000 x2

* formation energy from the elements: 3.695 eV per atom
* calculated volume: 95.9 Å³/f.u.
* final energy: -6.864 eV/atom